UVPbO6: optimized geometry, PBE with a Hubbard U.

V   275.6 Å³ per cell
Total energy   -8.119 eV per atom

Unit cell a=5.4729 b=5.4729 c=10.6230 alpha=90.00 beta=90.00 gamma=120.00
Space group P-31c (No. 163)
One atom of each set of equivalent atoms:
U 0.3333 0.6667 0.2500 (multiplicity 2)
V 0.3333 0.6667 0.7500 (multiplicity 2)
Pb 0.0000 0.0000 0.0000 (multiplicity 2)
O 0.0159 0.3813 0.6491 (multiplicity 12)